A relaxed ZrZn2Cu crystal, computed with PBEsol.

Geometry as POSCAR:
```
ZrZn2Cu
1.0
2.7164 0.0000 0.0000
0.0000 4.1803 0.0000
-1.0846 0.0000 5.3785
Zr Zn Cu
1 2 1
direct
0.0000 0.0000 0.0000 Zr
0.3520 0.5000 0.7209 Zn
0.6480 0.5000 0.2791 Zn
0.5000 0.0000 0.5000 Cu
```

Calculated values
Electronic total energy: -17.0 eV per cell
ΔE_f: -0.113 eV per atom
N(E_F): 1.9 states/eV/cell
V: 15.27 Å³/atom



A relaxed ZrZn3Cu crystal, computed with PBEsol.

Geometry as POSCAR:
```
ZrZn3Cu
1.0
4.3843 0.0000 0.0000
0.0000 4.3843 0.0000
0.0000 0.0000 4.3843
Zr Zn Cu
1 3 1
direct
0.0000 0.0000 0.0000 Zr
0.0000 0.5000 0.5000 Zn
0.5000 0.0000 0.5000 Zn
0.5000 0.5000 0.0000 Zn
0.5000 0.5000 0.5000 Cu
```

Calculated values
Electronic total energy: -17.2 eV per cell
ΔE_f: 0.193 eV per atom
N(E_F): 2.1 states/eV/cell
V: 16.85 Å³/atom



A relaxed Zr5Cu3 crystal, computed with PBEsol.

Geometry as POSCAR:
```
Zr5Cu3
1.0
8.0362 0.0000 0.0000
-4.0181 6.9596 0.0000
0.0000 0.0000 5.2017
Zr Cu
10 6
direct
0.0000 0.2410 0.2500 Zr
0.0000 0.7590 0.7500 Zr
0.2410 0.0000 0.2500 Zr
0.2410 0.2410 0.7500 Zr
0.3333 0.6667 0.0000 Zr
0.3333 0.6667 0.5000 Zr
0.6667 0.3333 0.0000 Zr
0.6667 0.3333 0.5000 Zr
0.7590 0.0000 0.7500 Zr
0.7590 0.7590 0.2500 Zr
0.0000 0.4009 0.7500 Cu
0.0000 0.5991 0.2500 Cu
0.4009 0.0000 0.7500 Cu
0.4009 0.4009 0.2500 Cu
0.5991 0.0000 0.2500 Cu
0.5991 0.5991 0.7500 Cu
```

Calculated values
Electronic total energy: -117.7 eV per cell
ΔE_f: -0.052 eV per atom
N(E_F): 23.7 states/eV/cell
V: 18.18 Å³/atom